[1]
First-principles (GGA-PBE) data for a geometry-optimized BaSiPb2 structure, as listed in Alexandria via LeMat-Bulk.

Cell: 5.475 5.475 6.223 Å, 73.91 73.91 45.92°
Atoms (fractional coordinates):
Si 0.750 0.750 0.750
Ba 0.250 0.250 0.250
Pb 0.471 0.471 0.582
Pb 0.029 0.029 0.918

Values from the calculation:
Density of states at the Fermi level (states/eV per atom): 0.53
Formation energy from raw total energies (eV per atom): -0.088


[2]
First-principles (GGA-PBE) data for a geometry-optimized Rb2NaMg2Br7 structure, as listed in Alexandria via LeMat-Bulk.

Cell: 5.368 5.368 14.298 Å, 79.18 79.18 89.99°
Atoms (fractional coordinates):
Br 0.092 0.592 0.816
Br 0.592 0.092 0.816
Na 0.000 0.000 0.000
Br 0.908 0.408 0.184
Br 0.694 0.694 0.613
Rb 0.180 0.180 0.640
Br 0.500 0.500 0.000
Rb 0.820 0.820 0.360
Mg 0.402 0.402 0.196
Mg 0.598 0.598 0.804
Br 0.306 0.306 0.387
Br 0.408 0.908 0.184

Values from the calculation:
Density of states at the Fermi level (states/eV per atom): 0.00
Formation energy from raw total energies (eV per atom): -1.520